# 1
VASP calculation (GGA-PBE) on an optimized crystal structure of Li2AcTbTl4.

Unit cell a=4.9784 b=4.9784 c=10.5352 alpha=76.33 beta=76.33 gamma=60.00
Closest atoms and distances in Å follow each position.
Sites, in units of the cell vectors:
Tl1 0.3945 0.3945 0.8165  3 Li 3.07, 1 Tb 3.21, 3 Tl 3.38, 3 Ac 3.42
Tl2 0.1196 0.1196 0.6412  3 Li 2.96, 3 Tb 3.21
Tl3 0.8804 0.8804 0.3588  3 Li 2.96, 3 Tb 3.21
Tl4 0.6055 0.6055 0.1835  3 Li 3.07, 1 Tb 3.21, 3 Tl 3.38, 3 Ac 3.42
Li1 0.7633 0.7633 0.7102  6 Tl 2.96-3.07
Li2 0.2367 0.2367 0.2898  6 Tl 2.96-3.07
Ac1 0.0000 0.0000 0.0000  8 Tl 3.42-3.64
Tb1 0.5000 0.5000 0.5000  8 Tl 3.21, 6 Li 3.58

**SG**: No. 166



# 2
VASP calculation (GGA-PBE) on an optimized crystal structure of BaCoCl3.

Unit cell a=4.8982 b=4.8982 c=4.8982 alpha=90.00 beta=90.00 gamma=90.00
Closest atoms and distances in Å follow each position.
Sites, in units of the cell vectors:
Ba1 0.5000 0.5000 0.5000  12 Cl 3.46
Cl1 0.0000 0.0000 0.5000  2 Co 2.45
Cl2 0.5000 0.0000 0.0000  2 Co 2.45
Cl3 0.0000 0.5000 0.0000  2 Co 2.45
Co1 0.0000 0.0000 0.0000  6 Cl 2.45

**SG**: No. 221
**ΔE to the lowest computed polymorph**: 0 meV/atom
**Formation energy without anion corrections**: -1377 meV/atom



| no. | total DFT energy (no corrections) (eV per atom) |
| --- | --- |
| 1 | -3.08 |
| 2 | -4.29 |